A relaxed Sm2Co3Si5 crystal, computed with PBE-GGA.

Output
The energy relative to the elements, uncorrected comes out at -0.7478 eV/atom. As for the magnetization: 0.41 μB/f.u. The total energy comes out at -6.53 eV/atom.

Unit cell a=10.8946 b=11.5288 c=5.5700 alpha=90.00 beta=118.92 gamma=90.00
Closest atoms and distances in Å follow each position.
Space group C2/c (No. 15)
Inequivalent atoms, fractional coordinates:
Sm 0.2346 0.1344 0.2370 (multiplicity 8)  10 Si 2.89-3.18, 5 Co 2.99-3.23
Co 0.0000 0.4958 0.7500 (multiplicity 4)  5 Si 2.35-2.45
Co 0.0995 0.1373 0.6255 (multiplicity 8)  5 Si 2.28-2.38
Si 0.0000 0.0106 0.2500 (multiplicity 4)  4 Co 2.30-2.34
Si 0.0000 0.2685 0.2500 (multiplicity 4)  2 Co 2.38, 2 Si 2.52
Si 0.0000 0.2833 0.7500 (multiplicity 4)  3 Co 2.28-2.45, 2 Si 2.49
Si 0.1592 0.3996 0.1621 (multiplicity 8)  3 Co 2.34-2.38, 2 Si 2.49-2.52